[1]
{"formula": "ThNi4B2", "functional": "GGA-PBE", "state": "relaxed", "delta_e_f_mev_per_atom": -382, "energy_ev_per_atom": -6.65, "lattice": [[3.654, 0.000, 0.000], [0.000, 3.634, 0.000], [0.000, -1.817, 6.475]], "species": ["Ni", "Ni", "Ni", "Ni", "B", "B", "Th"], "fractional_positions": [[0.500, 0.182, 0.364], [0.000, 0.679, 0.359], [0.500, 0.818, 0.636], [0.000, 0.321, 0.641], [0.500, 0.387, 0.775], [0.500, 0.613, 0.225], [0.000, 0.000, 0.000]]}


[2]
{"formula": "LiZrI4", "functional": "GGA-PBE", "state": "relaxed", "relative_energy_ev_per_atom": 0.000, "energy_ev_per_atom": -3.75, "e_form_raw_ev_per_fu": -5.8, "lattice": [[-0.078, -3.827, 1.123], [6.529, 1.005, 3.877], [-3.884, 1.855, 6.052]], "species": ["Li", "Zr", "I", "I", "I", "I"], "fractional_positions": [[0.500, 0.000, 0.500], [0.000, 0.000, 0.000], [0.000, 0.784, 0.319], [0.000, 0.216, 0.681], [0.500, 0.765, 0.833], [0.500, 0.235, 0.167]]}


Q: What is the formula in the first record?
A: ThNi4B2